TlFeS2: relaxed, GGA-PBE.

Cell lengths 8.760, 8.760, 8.760 Å; angles 21.87, 21.87, 21.87 degrees
Atoms (fractional coordinates):
Fe 0.500 0.500 0.500
S 0.881 0.881 0.881
S 0.119 0.119 0.119
Tl 0.000 0.000 0.000

## Properties
symmetry = R-3m, No. 166
E_form (uncorrected) = -1.16 eV/f.u.
N(E_F) = 0.8601 states/eV per atom
total moment = 0.38 μB/atom